# 1
Compound: CrRuSCl2
Source: Alexandria
Functional: GGA-PBE
Structure: optimized geometry

Results
Space-group type ... P4/mmm
Formation energy without anion corrections ... 73.6 kJ per mole of atoms
DFT total energy ... -4.58 eV per atom

Cell: 4.618 4.618 4.433 Å, 90.00 90.00 90.00°
Sites, in units of the cell vectors:
Cr 0.000 0.000 0.000
Ru 0.500 0.500 0.500
S 0.000 0.000 0.500
Cl 0.000 0.500 0.000
Cl 0.500 0.000 0.000

***

# 2
Compound: Cr2RuSCl
Source: Alexandria
Functional: GGA-PBE
Structure: optimized geometry

Results
Space-group type ... P4/mmm
Formation energy without anion corrections ... 97.4 kJ per mole of atoms
DFT total energy ... -5.89 eV per atom

Cell: 4.618 4.618 4.347 Å, 90.00 90.00 90.00°
Sites, in units of the cell vectors:
Cr 0.000 0.500 0.000
Cr 0.500 0.000 0.000
Ru 0.000 0.000 0.500
S 0.500 0.500 0.500
Cl 0.000 0.000 0.000

***

# 3
Compound: Cr2RuSeCl
Source: Alexandria
Functional: GGA-PBE
Structure: optimized geometry

Results
Space-group type ... P4/mmm
Formation energy without anion corrections ... 85.5 kJ per mole of atoms
DFT total energy ... -5.89 eV per atom

Cell: 4.621 4.621 4.384 Å, 90.00 90.00 90.00°
Sites, in units of the cell vectors:
Cr 0.000 0.500 0.000
Cr 0.500 0.000 0.000
Ru 0.000 0.000 0.500
Se 0.500 0.500 0.500
Cl 0.000 0.000 0.000

***

# 4
Compound: CrSCl
Source: Alexandria
Functional: GGA-PBE
Structure: optimized geometry

Results
Space-group type ... Cm
Formation energy without anion corrections ... -73.9 kJ per mole of atoms
DFT total energy ... -5.97 eV per atom

Cell: 6.637 6.637 6.745 Å, 107.68 107.68 29.97°
Sites, in units of the cell vectors:
Cr 0.000 0.000 0.000
Cr 0.718 0.718 0.970
S 0.114 0.114 0.782
S 0.613 0.613 0.188
Cl 0.380 0.380 0.782
Cl 0.888 0.888 0.228

***

# 5
Compound: CrSCl
Source: Alexandria
Functional: GGA-PBE
Structure: optimized geometry

Results
Space-group type ... R3m
Formation energy without anion corrections ... -52.4 kJ per mole of atoms
DFT total energy ... -5.74 eV per atom

Cell: 7.082 7.082 7.082 Å, 25.50 25.50 25.50°
Sites, in units of the cell vectors:
Cr 0.000 0.000 0.000
S 0.265 0.265 0.265
Cl 0.413 0.413 0.413

***

# 6
Compound: Cr2SCl
Source: Alexandria
Functional: GGA-PBE
Structure: optimized geometry

Results
Space-group type ... Fm-3m
Formation energy without anion corrections ... 7.8 kJ per mole of atoms
DFT total energy ... -6.22 eV per atom

Cell: 4.588 4.588 4.588 Å, 60.00 60.00 60.00°
Sites, in units of the cell vectors:
Cr 0.250 0.250 0.250
Cr 0.750 0.750 0.750
S 0.000 0.000 0.000
Cl 0.500 0.500 0.500

***

# 7
Compound: CrSCl2
Source: Alexandria
Functional: GGA-PBE
Structure: optimized geometry

Results
Space-group type ... R-3m
Formation energy without anion corrections ... -5.8 kJ per mole of atoms
DFT total energy ... -4.42 eV per atom

Cell: 9.924 9.924 9.924 Å, 19.43 19.43 19.43°
Sites, in units of the cell vectors:
Cr 0.000 0.000 0.000
S 0.500 0.500 0.500
Cl 0.384 0.384 0.384
Cl 0.616 0.616 0.616

***

# 8
Compound: CrS2Cl
Source: Alexandria
Functional: GGA-PBE
Structure: optimized geometry

Results
Space-group type ... R-3m
Formation energy without anion corrections ... 80.7 kJ per mole of atoms
DFT total energy ... -4.10 eV per atom

Cell: 8.746 8.746 8.746 Å, 20.96 20.96 20.96°
Sites, in units of the cell vectors:
Cr 0.000 0.000 0.000
S 0.081 0.081 0.081
S 0.919 0.919 0.919
Cl 0.500 0.500 0.500

***

# 9
Compound: CrS2Cl
Source: Alexandria
Functional: GGA-PBE
Structure: optimized geometry

Results
Space-group type ... Fm-3m
Formation energy without anion corrections ... 49.8 kJ per mole of atoms
DFT total energy ... -4.41 eV per atom

Cell: 4.480 4.480 4.480 Å, 60.00 60.00 60.00°
Sites, in units of the cell vectors:
Cr 0.000 0.000 0.000
S 0.250 0.250 0.250
S 0.750 0.750 0.750
Cl 0.500 0.500 0.500

***

# 10
Compound: CrSCl2
Source: Alexandria
Functional: GGA-PBE
Structure: optimized geometry

Results
Space-group type ... R-3m
Formation energy without anion corrections ... 49.8 kJ per mole of atoms
DFT total energy ... -3.85 eV per atom

Cell: 11.902 11.902 11.902 Å, 14.33 14.33 14.33°
Sites, in units of the cell vectors:
Cr 0.000 0.000 0.000
S 0.500 0.500 0.500
Cl 0.059 0.059 0.059
Cl 0.941 0.941 0.941

***

# 11
Compound: CrS3Cl
Source: Alexandria
Functional: GGA-PBE
Structure: optimized geometry

Results
Space-group type ... Pm-3m
Formation energy without anion corrections ... 107.2 kJ per mole of atoms
DFT total energy ... -3.66 eV per atom

Cell: 4.628 4.628 4.628 Å, 90.00 90.00 90.00°
Sites, in units of the cell vectors:
Cr 0.000 0.000 0.000
S 0.000 0.500 0.500
S 0.500 0.000 0.500
S 0.500 0.500 0.000
Cl 0.500 0.500 0.500

***

# 12
Compound: CrS2Cl
Source: Alexandria
Functional: GGA-PBE
Structure: optimized geometry

Results
Space-group type ... R-3m
Formation energy without anion corrections ... -39.1 kJ per mole of atoms
DFT total energy ... -5.34 eV per atom

Cell: 7.371 7.371 7.371 Å, 28.02 28.02 28.02°
Sites, in units of the cell vectors:
Cr 0.000 0.000 0.000
S 0.390 0.390 0.390
S 0.610 0.610 0.610
Cl 0.500 0.500 0.500